BaTlSCl: relaxed, PBE.

Structure (POSCAR):
```
BaTlSCl
1.0
-0.2921 -1.9356 5.0723
1.3560 -5.1651 1.0209
4.5551 -1.1225 2.7478
Ba Tl Cl S
1 1 1 1
Direct
0.5000 0.5000 0.5000
0.0000 0.0000 0.0000
0.7500 0.7500 0.7500
0.2500 0.2500 0.2500
```

Values from the calculation:
The total DFT energy (no corrections) comes out at -4.032 eV per atom. The formation energy from raw total energies comes out at -1.47 eV per atom. The density is 5.98 g/cm³. The space group is F-43m.